# ReSi2Cl

ReSi2Cl after structural relaxation (PBE-GGA, Alexandria via LeMat-Bulk).

Summary:
**Final energy**: -5.976 eV/atom
**E_form (uncorrected)**: 0.31 eV/atom
**DOS at the Fermi energy**: 2.4 states/eV per cell

CIF file:
```
data_ReSi2Cl
_chemical_formula_sum 'Re2 Si4 Cl2'
_symmetry_space_group_name_H-M 'P 1'
_symmetry_Int_Tables_number 1
_symmetry_space_group_name_Hall 'P 1'
_cell_length_a 7.601
_cell_length_b 3.201
_cell_length_c 7.239
_cell_angle_alpha 90.00
_cell_angle_beta 117.27
_cell_angle_gamma 90.00
loop_
_atom_site_label
_atom_site_type_symbol
_atom_site_fract_x
_atom_site_fract_y
_atom_site_fract_z
Re1 Re 0.000 0.000 0.000
Re2 Re 0.500 0.500 0.000
Si1 Si 0.222 0.000 0.840
Si2 Si 0.447 0.000 0.700
Si3 Si 0.722 0.500 0.840
Si4 Si 0.947 0.500 0.700
Cl1 Cl 0.163 0.500 0.297
Cl2 Cl 0.663 0.000 0.297
```